# Pm4Si2I (PBE, optimized geometry)
data_Pm4Si2I
_chemical_formula_sum 'Pm16 Si8 I4'
_space_group_name_H-M_alt 'I -4 2 d'
_space_group_IT_number 122
_space_group_name_Hall 'I -4 2bw'
_cell_length_a 9.139
_cell_length_b 9.139
_cell_length_c 9.148
_cell_angle_alpha 90.00
_cell_angle_beta 90.00
_cell_angle_gamma 90.00
loop_
_atom_site_label
_atom_site_fract_x
_atom_site_fract_y
_atom_site_fract_z
Pm1 0.074 0.174 0.321
Si1 0.134 0.250 0.625
I1 0.000 0.000 0.000
# - crystal system = tetragonal
# - uncorrected energy (eV per atom) = -5.189



# Pm2SiI (PBE, optimized geometry)
data_Pm2SiI
_chemical_formula_sum 'Pm6 Si3 I3'
_space_group_name_H-M_alt 'R -3 m'
_space_group_IT_number 166
_space_group_name_Hall '-R 3 2"'
_cell_length_a 4.3014
_cell_length_b 4.3014
_cell_length_c 22.9612
_cell_angle_alpha 90.00
_cell_angle_beta 90.00
_cell_angle_gamma 120.00
loop_
_atom_site_label
_atom_site_fract_x
_atom_site_fract_y
_atom_site_fract_z
Pm1 0.0000 0.0000 0.2322
Si1 0.0000 0.0000 0.5000
I1 0.0000 0.0000 0.0000
# - crystal system = trigonal
# - ΔE to the lowest computed polymorph (eV per formula unit) = 0.00



# Pm5Si2I2 (PBE, optimized geometry)
data_Pm5Si2I2
_chemical_formula_sum 'Pm20 Si8 I8'
_space_group_name_H-M_alt 'C m c e'
_space_group_IT_number 64
_space_group_name_Hall '-C 2ac 2'
_cell_length_a 15.927
_cell_length_b 8.003
_cell_length_c 7.953
_cell_angle_alpha 90.00
_cell_angle_beta 90.00
_cell_angle_gamma 90.00
loop_
_atom_site_label
_atom_site_fract_x
_atom_site_fract_y
_atom_site_fract_z
Pm1 0.000 0.000 0.000
Pm2 0.120 0.167 0.333
Si1 0.000 0.130 0.629
I1 0.206 0.000 0.000
# - crystal system = orthorhombic
# - ΔE to the lowest computed polymorph (eV per formula unit) = 0.00



# Pm5Si2I2 (PBE, optimized geometry)
data_Pm5Si2I2
_chemical_formula_sum 'Pm20 Si8 I8'
_space_group_name_H-M_alt 'I m a 2'
_space_group_IT_number 46
_cell_length_a 17.876
_cell_length_b 7.649
_cell_length_c 8.090
_cell_angle_alpha 90.00
_cell_angle_beta 90.00
_cell_angle_gamma 90.00
loop_
_space_group_symop_operation_xyz
'x,y,z'
'-x,-y,z'
'-x+1/2,y,z'
'x+1/2,-y,z'
'x+1/2,y+1/2,z+1/2'
'-x+1/2,-y+1/2,z+1/2'
'-x,y+1/2,z+1/2'
'x,-y+1/2,z+1/2'
loop_
_atom_site_label
_atom_site_fract_x
_atom_site_fract_y
_atom_site_fract_z
Pm1 0.063 0.200 0.000
Pm2 0.155 0.630 0.159
Pm3 0.250 0.193 0.278
Si1 0.000 0.000 0.721
Si2 0.250 0.535 0.457
I1 0.100 0.527 0.802
# - crystal system = orthorhombic
# - ΔE to the lowest computed polymorph (eV per formula unit) = 1.96



# Pm7SiI12 (PBE, optimized geometry)
data_Pm7SiI12
_chemical_formula_sum 'Pm21 Si3 I36'
_space_group_name_H-M_alt 'R -3'
_space_group_IT_number 148
_space_group_name_Hall '-R 3'
_cell_length_a 16.0252
_cell_length_b 16.0252
_cell_length_c 10.7007
_cell_angle_alpha 90.00
_cell_angle_beta 90.00
_cell_angle_gamma 120.00
loop_
_atom_site_label
_atom_site_fract_x
_atom_site_fract_y
_atom_site_fract_z
Pm1 0.0000 0.0000 0.0000
Pm2 0.0460 0.8835 0.3510
Si1 0.0000 0.0000 0.5000
I1 0.0219 0.4347 0.1654
I2 0.0515 0.8683 0.8377
# - crystal system = trigonal
# - uncorrected energy (eV per atom) = -4.171



# Pm4Si2I3 (PBE, optimized geometry)
data_Pm4Si2I3
_chemical_formula_sum 'Pm8 Si4 I6'
_space_group_name_H-M_alt 'C 1 2/m 1'
_space_group_IT_number 12
_cell_length_a 7.469
_cell_length_b 4.312
_cell_length_c 19.068
_cell_angle_alpha 90.00
_cell_angle_beta 90.05
_cell_angle_gamma 90.00
loop_
_space_group_symop_operation_xyz
'x,y,z'
'-x,-y,-z'
'-x,y,-z'
'x,-y,z'
'x+1/2,y+1/2,z'
'-x+1/2,-y+1/2,-z'
'-x+1/2,y+1/2,-z'
'x+1/2,-y+1/2,z'
loop_
_atom_site_label
_atom_site_fract_x
_atom_site_fract_y
_atom_site_fract_z
Pm1 0.000 0.000 0.215
Pm2 0.167 0.500 0.379
Si1 0.167 0.500 0.699
I1 0.000 0.000 0.500
I2 0.166 0.500 0.108
# - crystal system = monoclinic
# - ΔE to the lowest computed polymorph (eV per formula unit) = 0.00



# Pm4SiI5 (PBE, optimized geometry)
data_Pm4SiI5
_chemical_formula_sum 'Pm8 Si2 I10'
_space_group_name_H-M_alt 'C 1 2/m 1'
_space_group_IT_number 12
_cell_length_a 21.155
_cell_length_b 4.295
_cell_length_c 8.981
_cell_angle_alpha 90.00
_cell_angle_beta 90.39
_cell_angle_gamma 90.00
loop_
_space_group_symop_operation_xyz
'x,y,z'
'-x,-y,-z'
'-x,y,-z'
'x,-y,z'
'x+1/2,y+1/2,z'
'-x+1/2,-y+1/2,-z'
'-x+1/2,y+1/2,-z'
'x+1/2,-y+1/2,z'
loop_
_atom_site_label
_atom_site_fract_x
_atom_site_fract_y
_atom_site_fract_z
Pm1 0.000 0.000 0.214
Pm2 0.130 0.500 0.002
Si1 0.000 0.500 0.000
I1 0.000 0.500 0.500
I2 0.154 0.000 0.255
I3 0.154 0.000 0.750
# - crystal system = monoclinic
# - ΔE to the lowest computed polymorph (eV per formula unit) = 0.31



# Pm2SiI (PBE, optimized geometry)
data_Pm2SiI
_chemical_formula_sum 'Pm2 Si1 I1'
_space_group_name_H-M_alt 'P 4/m m m'
_space_group_IT_number 123
_space_group_name_Hall '-P 4 2'
_cell_length_a 3.653
_cell_length_b 3.653
_cell_length_c 8.148
_cell_angle_alpha 90.00
_cell_angle_beta 90.00
_cell_angle_gamma 90.00
loop_
_atom_site_label
_atom_site_fract_x
_atom_site_fract_y
_atom_site_fract_z
Pm1 0.000 0.000 0.215
Si1 0.500 0.500 0.000
I1 0.500 0.500 0.500
# - crystal system = tetragonal
# - ΔE to the lowest computed polymorph (eV per formula unit) = 1.17



# Pm4SiI5 (PBE, optimized geometry)
data_Pm4SiI5
_chemical_formula_sum 'Pm8 Si2 I10'
_space_group_name_H-M_alt 'C 1 2/m 1'
_space_group_IT_number 12
_cell_length_a 19.510
_cell_length_b 4.288
_cell_length_c 9.035
_cell_angle_alpha 90.00
_cell_angle_beta 102.69
_cell_angle_gamma 90.00
loop_
_space_group_symop_operation_xyz
'x,y,z'
'-x,-y,-z'
'-x,y,-z'
'x,-y,z'
'x+1/2,y+1/2,z'
'-x+1/2,-y+1/2,-z'
'-x+1/2,y+1/2,-z'
'x+1/2,-y+1/2,z'
loop_
_atom_site_label
_atom_site_fract_x
_atom_site_fract_y
_atom_site_fract_z
Pm1 0.000 0.000 0.212
Pm2 0.147 0.500 0.074
Si1 0.000 0.500 0.000
I1 0.000 0.500 0.500
I2 0.166 0.000 0.337
I3 0.171 0.000 0.827
# - crystal system = monoclinic
# - ΔE to the lowest computed polymorph (eV per formula unit) = 0.00



# Pm2Si2I (PBE, optimized geometry)
data_Pm2Si2I
_chemical_formula_sum 'Pm8 Si8 I4'
_space_group_name_H-M_alt 'I m m a'
_space_group_IT_number 74
_space_group_name_Hall '-I 2b 2'
_cell_length_a 8.144
_cell_length_b 17.392
_cell_length_c 3.910
_cell_angle_alpha 90.00
_cell_angle_beta 90.00
_cell_angle_gamma 90.00
loop_
_atom_site_label
_atom_site_fract_x
_atom_site_fract_y
_atom_site_fract_z
Pm1 0.250 0.097 0.250
Si1 0.000 0.041 0.750
I1 0.000 0.250 0.222
# - crystal system = orthorhombic
# - uncorrected energy (eV per atom) = -5.262



# Pm2SiI (PBE, optimized geometry)
data_Pm2SiI
_chemical_formula_sum 'Pm8 Si4 I4'
_space_group_name_H-M_alt 'F m -3 m'
_space_group_IT_number 225
_space_group_name_Hall '-F 4 2 3'
_cell_length_a 7.560
_cell_length_b 7.560
_cell_length_c 7.560
_cell_angle_alpha 90.00
_cell_angle_beta 90.00
_cell_angle_gamma 90.00
loop_
_atom_site_label
_atom_site_fract_x
_atom_site_fract_y
_atom_site_fract_z
Pm1 0.250 0.250 0.250
Si1 0.000 0.000 0.000
I1 0.000 0.000 0.500
# - crystal system = cubic
# - ΔE to the lowest computed polymorph (eV per formula unit) = 1.46



# Pm5Si2I (PBE, optimized geometry)
data_Pm5Si2I
_chemical_formula_sum 'Pm20 Si8 I4'
_space_group_name_H-M_alt 'I 4/m c m'
_space_group_IT_number 140
_space_group_name_Hall '-I 4 2c'
_cell_length_a 7.932
_cell_length_b 7.932
_cell_length_c 14.188
_cell_angle_alpha 90.00
_cell_angle_beta 90.00
_cell_angle_gamma 90.00
loop_
_atom_site_label
_atom_site_fract_x
_atom_site_fract_y
_atom_site_fract_z
Pm1 0.000 0.000 0.000
Pm2 0.156 0.344 0.136
Si1 0.145 0.355 0.500
I1 0.000 0.000 0.250
# - crystal system = tetragonal
# - uncorrected energy (eV per atom) = -5.104



Number 1: N(E_F) 26.0 states/eV per cell. Number 2: N(E_F) 4.9 states/eV per cell. Number 3: N(E_F) 33.7 states/eV per cell. Number 4: N(E_F) 30.3 states/eV per cell. Number 5: N(E_F) 36.5 states/eV per cell. Number 6: N(E_F) 6.1 states/eV per cell. Number 7: N(E_F) 8.2 states/eV per cell. Number 8: N(E_F) 3.7 states/eV per cell. Number 9: N(E_F) 8.1 states/eV per cell. Number 10: N(E_F) 5.0 states/eV per cell. Number 11: N(E_F) 14.6 states/eV per cell. Number 12: N(E_F) 44.0 states/eV per cell.